Density functional theory data (PBE) for a relaxed structure of PmSmTh.

Properties
- Energy relative to the elements: 802 meV/atom

```
data_PmSmTh
_chemical_formula_sum 'Pm4 Sm4 Th4'
_space_group_name_H-M_alt 'F -4 3 m'
_space_group_IT_number 216
_space_group_name_Hall 'F -4 2 3'
_cell_length_a 7.706
_cell_length_b 7.706
_cell_length_c 7.706
_cell_angle_alpha 90.00
_cell_angle_beta 90.00
_cell_angle_gamma 90.00
loop_
_atom_site_label
_atom_site_type_symbol
_atom_site_fract_x
_atom_site_fract_y
_atom_site_fract_z
Pm1 Pm 0.000 0.000 0.000
Sm1 Sm 0.250 0.250 0.250
Th1 Th 0.000 0.000 0.500
```